Crystalline SrAlCu at its relaxed geometry, computed with PBE-GGA.

Properties
The magnetization comes out at 0.0 Bohr magnetons per cell. The formation energy from the elements is -0.2107 eV per atom. The calculation puts the total energy at -20.306 eV for the cell shown.

Cell lengths 4.271, 4.271, 8.035 Å; angles 90.00, 90.00, 90.00 degrees
Space group P4/nmm (No. 129, origin choice 2)
One atom of each set of equivalent atoms:
1 Sr 0.250 0.250 0.174 x2
2 Al 0.250 0.750 0.500 x2
3 Cu 0.250 0.250 0.671 x2